3
Lattice="-4.412 -0.160 -0.346 -1.877 -1.333 -3.783 -2.066 -3.913 -0.189" Properties=species:S:1:pos:R:3 comment="PuZnNi | the Alexandria database | PBE-GGA | relaxed" relative_energy_mev_per_atom=232 vol_a3_per_atom=20.47 m_tot_mub_per_cell=5.5 formation_energy_ev_per_atom=0.024 pbc="T T T"
Pu 0.000 0.000 0.000
Zn -4.178 -2.703 -2.159
Ni -2.089 -1.351 -1.079

***

12
Lattice="-3.690 -0.921 -2.939 -0.303 -4.254 -2.217 -5.391 -4.555 4.265" Properties=species:S:1:pos:R:3 comment="PuZn2Ni9 | the Alexandria database | PBE-GGA | relaxed" vol_a3_per_atom=12.95 m_tot_mub_per_cell=1.4 formation_energy_ev_per_atom=-0.119 pbc="T T T"
Zn -3.625 -3.324 1.662
Zn -5.760 -6.406 -2.553
Ni -6.712 -6.273 2.531
Ni -6.349 -6.424 0.132
Ni -3.036 -3.306 -1.023
Ni -2.673 -3.458 -3.422
Ni -4.692 -4.865 -0.446
Ni -4.479 -5.957 1.621
Ni -6.196 -4.268 1.255
Ni -3.189 -5.462 -2.146
Ni -4.905 -3.773 -2.512
Pu 0.000 0.000 0.000

***

13
Lattice="4.690 0.000 1.885 2.345 6.098 0.943 0.070 0.000 6.601" Properties=species:S:1:pos:R:3 comment="PuZn8Ni4 | the Alexandria database | PBE-GGA | relaxed" vol_a3_per_atom=14.46 m_tot_mub_per_cell=6.2 formation_energy_ev_per_atom=-0.204 pbc="T T T"
Pu 0.000 0.000 0.000
Zn 3.196 4.005 5.601
Zn 4.183 4.740 3.146
Zn 1.564 4.005 2.885
Zn 5.267 4.740 7.225
Zn 2.922 1.359 6.283
Zn 1.838 1.359 2.203
Zn 3.909 2.094 3.828
Zn 0.851 2.094 4.659
Ni 1.172 3.049 0.471
Ni 3.517 3.049 1.414
Ni 2.380 0.000 4.243
Ni 0.035 0.000 3.300

***

10
Lattice="2.792 0.000 0.000 0.000 2.792 0.000 0.000 0.000 17.458" Properties=species:S:1:pos:R:3 comment="PuZn5Ni4 | the Alexandria database | PBE-GGA | relaxed" vol_a3_per_atom=13.60 m_tot_mub_per_cell=5.5 formation_energy_ev_per_atom=-0.192 pbc="T T T"
Zn 1.396 1.396 2.437
Zn 1.396 1.396 15.021
Zn 1.396 1.396 8.729
Zn 1.396 1.396 11.877
Zn 1.396 1.396 5.581
Ni 0.000 0.000 7.155
Ni 0.000 0.000 4.005
Ni 0.000 0.000 13.452
Ni 0.000 0.000 10.302
Pu 0.000 0.000 0.000

***

19
Lattice="6.741 0.052 0.818 0.731 6.702 0.818 0.057 0.052 6.790" Properties=species:S:1:pos:R:3 comment="Pu2Zn16Ni | the Alexandria database | PBE-GGA | relaxed" vol_a3_per_atom=16.10 m_tot_mub_per_cell=11.2 formation_energy_ev_per_atom=-0.142 pbc="T T T"
Zn 5.964 2.434 3.382
Zn 5.531 6.746 3.355
Zn 7.269 4.823 3.355
Zn 1.538 4.399 5.071
Zn 4.221 6.742 7.982
Zn 2.714 6.746 5.872
Zn 7.459 6.742 5.089
Zn 7.133 3.520 7.982
Zn 4.532 1.087 5.071
Zn 2.520 4.823 7.599
Zn 0.737 0.666 0.825
Zn 6.985 2.021 5.872
Zn 4.867 4.399 2.096
Zn 2.693 2.434 6.306
Zn 3.022 5.689 3.382
Zn 5.052 2.021 7.599
Pu 5.018 4.536 5.616
Pu 2.556 2.310 2.860
Ni 6.771 6.120 7.577

***

4
Lattice="3.671 0.000 0.000 0.000 3.671 0.000 0.000 0.000 5.993" Properties=species:S:1:pos:R:3 comment="Pu2ZnNi | the Alexandria database | PBE-GGA | relaxed" relative_energy_mev_per_atom=0 vol_a3_per_atom=20.19 m_tot_mub_per_cell=11.0 formation_energy_ev_per_atom=-0.024 pbc="T T T"
Ni 1.835 1.835 0.000
Pu 0.000 0.000 4.573
Pu 0.000 0.000 1.420
Zn 1.835 1.835 2.997

***

4
Lattice="-4.700 -0.772 1.110 -1.239 -1.499 4.487 -2.327 3.044 3.040" Properties=species:S:1:pos:R:3 comment="Pu2ZnNi | the Alexandria database | PBE-GGA | relaxed" relative_energy_mev_per_atom=58 vol_a3_per_atom=20.68 m_tot_mub_per_cell=10.8 formation_energy_ev_per_atom=0.034 pbc="T T T"
Pu -6.199 0.579 6.477
Pu -2.066 0.193 2.159
Ni -4.133 0.386 4.318
Zn 0.000 0.000 0.000

***

3
Lattice="-1.984 1.031 -2.042 -3.146 0.246 3.182 2.655 3.520 -0.803" Properties=species:S:1:pos:R:3 comment="PuZnNi | the Alexandria database | PBE-GGA | relaxed" relative_energy_mev_per_atom=102 vol_a3_per_atom=17.56 m_tot_mub_per_cell=5.5 formation_energy_ev_per_atom=-0.107 pbc="T T T"
Zn 0.390 2.601 0.184
Pu -2.535 2.025 0.493
Ni -0.330 0.172 -0.340

***

6
Lattice="-2.473 -2.333 -3.210 -0.541 -4.026 3.344 -4.242 2.898 1.162" Properties=species:S:1:pos:R:3 comment="PuZnNi | the Alexandria database | PBE-GGA | relaxed" relative_energy_mev_per_atom=243 vol_a3_per_atom=21.17 m_tot_mub_per_cell=10.9 formation_energy_ev_per_atom=0.034 pbc="T T T"
Pu -2.593 -1.147 -0.574
Pu -4.664 -2.314 1.870
Zn -3.365 1.147 1.759
Zn -1.419 -2.274 2.747
Ni -4.858 -0.073 0.390
Ni -2.398 -3.388 0.905

***

4
Lattice="2.885 0.000 0.000 1.443 2.499 0.000 1.443 0.833 10.809" Properties=species:S:1:pos:R:3 comment="Pu2ZnNi | the Alexandria database | PBE-GGA | relaxed" relative_energy_mev_per_atom=384 vol_a3_per_atom=19.48 m_tot_mub_per_cell=9.9 formation_energy_ev_per_atom=0.361 pbc="T T T"
Zn 0.000 0.000 0.000
Ni 2.885 1.666 5.405
Pu 1.443 0.833 7.748
Pu 4.328 2.499 3.061

***

13
Lattice="4.634 0.000 1.903 2.330 6.048 0.921 0.020 -0.014 6.546" Properties=species:S:1:pos:R:3 comment="PuZn7Ni5 | the Alexandria database | PBE-GGA | relaxed" vol_a3_per_atom=14.09 m_tot_mub_per_cell=5.5 formation_energy_ev_per_atom=-0.213 pbc="T T T"
Pu 2.393 5.919 7.360
Zn 4.155 4.744 3.070
Zn 3.872 2.011 3.758
Zn 1.797 1.373 2.218
Zn 3.160 3.893 5.493
Zn 2.834 1.277 6.287
Zn 6.134 4.018 4.846
Zn 5.428 2.165 6.565
Ni 3.464 3.049 1.418
Ni 2.304 0.006 4.243
Ni 5.175 4.692 7.181
Ni 5.807 3.049 2.381
Ni 4.647 0.006 5.205

***

14
Lattice="4.058 0.000 0.000 0.000 7.334 0.000 0.000 0.000 7.334" Properties=species:S:1:pos:R:3 comment="PuZn4Ni2 | the Alexandria database | PBE-GGA | relaxed" vol_a3_per_atom=15.59 m_tot_mub_per_cell=10.5 formation_energy_ev_per_atom=-0.221 pbc="T T T"
Zn 0.000 6.675 4.819
Zn 2.029 4.327 1.152
Zn 2.029 1.152 4.327
Zn 0.000 0.660 2.515
Zn 0.000 2.515 0.660
Zn 0.000 4.819 6.675
Zn 2.029 3.008 6.182
Zn 2.029 6.182 3.008
Ni 2.029 2.001 2.001
Ni 2.029 5.333 5.333
Ni 0.000 1.666 5.669
Ni 0.000 5.669 1.666
Pu 0.000 3.667 3.667
Pu 2.029 0.000 0.000

***

4
Lattice="-1.690 -2.038 0.394 0.294 -1.589 2.134 -6.145 4.468 5.852" Properties=species:S:1:pos:R:3 comment="PuZn2Ni | the Alexandria database | PBE-GGA | relaxed" vol_a3_per_atom=14.68 m_tot_mub_per_cell=2.4 formation_energy_ev_per_atom=0.019 pbc="T T T"
Zn -5.871 0.846 6.475
Zn -1.670 -0.005 1.905
Pu -3.770 0.420 4.190
Ni 0.000 0.000 0.000

***

12
Lattice="3.839 0.000 0.000 0.000 5.657 0.000 -1.919 0.000 7.840" Properties=species:S:1:pos:R:3 comment="PuZnNi4 | the Alexandria database | PBE-GGA | relaxed" vol_a3_per_atom=14.19 m_tot_mub_per_cell=8.8 formation_energy_ev_per_atom=-0.080 pbc="T T T"
Zn 1.919 1.414 4.229
Zn 0.000 4.243 3.611
Ni 1.919 3.079 2.444
Ni 1.919 5.407 2.444
Ni 0.000 2.578 5.396
Ni 1.919 1.414 6.716
Ni 1.919 2.829 0.000
Ni 0.000 0.250 5.396
Ni 0.000 4.243 1.124
Ni 1.919 0.000 0.000
Pu 1.919 4.243 6.197
Pu 0.000 1.414 1.643

***

3
Lattice="3.060 0.000 0.000 0.000 3.060 0.000 -1.530 -1.530 5.486" Properties=species:S:1:pos:R:3 comment="PuZnNi | the Alexandria database | PBE-GGA | relaxed" relative_energy_mev_per_atom=95 vol_a3_per_atom=17.12 m_tot_mub_per_cell=5.5 formation_energy_ev_per_atom=-0.114 pbc="T T T"
Zn 1.530 1.530 1.626
Pu 1.530 1.530 4.807
Ni 0.000 0.000 2.892

***

6
Lattice="5.200 0.000 0.000 2.600 4.503 0.000 2.600 1.501 4.245" Properties=species:S:1:pos:R:3 comment="PuZn4Ni | the Alexandria database | PBE-GGA | relaxed" relative_energy_mev_per_atom=139 vol_a3_per_atom=16.57 m_tot_mub_per_cell=5.8 formation_energy_ev_per_atom=-0.024 pbc="T T T"
Zn 5.200 1.486 2.659
Zn 5.200 3.002 0.515
Zn 6.513 3.760 2.659
Zn 3.886 3.760 2.659
Pu 2.600 1.501 1.061
Ni 0.000 0.000 0.000

***

13
Lattice="4.634 0.031 1.881 2.265 6.177 0.919 -0.034 0.015 6.731" Properties=species:S:1:pos:R:3 comment="PuZn9Ni3 | the Alexandria database | PBE-GGA | relaxed" vol_a3_per_atom=14.82 m_tot_mub_per_cell=6.1 formation_energy_ev_per_atom=-0.187 pbc="T T T"
Zn 1.132 3.088 0.460
Zn 5.370 2.129 6.553
Zn 4.043 4.852 3.164
Zn 2.823 1.370 6.368
Zn 3.115 4.109 5.638
Zn 1.795 1.355 2.251
Zn 1.495 4.094 2.979
Zn 5.070 4.868 7.280
Zn 3.751 2.113 3.894
Ni -0.017 0.008 3.366
Ni 3.449 3.104 1.400
Ni 2.300 0.023 4.306
Pu 0.000 0.000 0.000

***

10
Lattice="-2.705 -3.137 -3.327 2.348 -4.363 -1.919 -2.628 -5.393 4.737" Properties=species:S:1:pos:R:3 comment="Pu2ZnNi2 | the Alexandria database | PBE-GGA | relaxed" vol_a3_per_atom=18.32 m_tot_mub_per_cell=22.4 formation_energy_ev_per_atom=-0.180 pbc="T T T"
Ni -2.033 -3.533 1.452
Ni -0.996 -6.334 -4.707
Ni -0.952 -9.360 -1.960
Ni -1.989 -6.559 4.198
Pu -1.751 -9.615 0.836
Pu -1.116 -6.323 1.423
Pu -1.870 -6.570 -1.932
Pu -1.235 -3.279 -1.345
Zn -3.936 -7.362 0.432
Zn 0.950 -5.531 -0.941

***

4
Lattice="2.558 0.000 0.000 0.000 2.558 0.000 0.000 0.000 8.582" Properties=species:S:1:pos:R:3 comment="PuZn2Ni | the Alexandria database | PBE-GGA | relaxed" vol_a3_per_atom=14.04 m_tot_mub_per_cell=0.0 formation_energy_ev_per_atom=0.014 pbc="T T T"
Ni 1.279 1.279 0.000
Zn 0.000 0.000 1.768
Zn 0.000 0.000 6.815
Pu 1.279 1.279 4.291

***

4
Lattice="3.224 0.000 0.000 0.000 3.224 0.000 0.000 0.000 6.891" Properties=species:S:1:pos:R:3 comment="PuZrNi2 | the Alexandria database | PBE-GGA | relaxed" relative_energy_mev_per_atom=0 vol_a3_per_atom=17.90 m_tot_mub_per_cell=5.7 formation_energy_ev_per_atom=-0.216 pbc="T T T"
Zr 1.612 1.612 0.000
Ni 0.000 0.000 1.440
Ni 0.000 0.000 5.451
Pu 1.612 1.612 3.445